# 1
{
  "formula": "CsTeI2N",
  "functional": "PBE",
  "state": "optimized geometry",
  "raw_formation_energy_ev_per_atom": -0.05,
  "de_polymorph_ev_per_fu": 0.00,
  "lattice_angstrom": [[6.600, 0.000, 0.000], [0.000, 6.600, 0.000], [0.000, 0.000, 4.104]],
  "species": ["Te", "Cs", "N", "I", "I"],
  "frac_coords": [[0.000, 0.000, 0.000], [0.500, 0.500, 0.500], [0.000, 0.000, 0.500], [0.000, 0.500, 0.000], [0.500, 0.000, 0.000]]
}

***

# 2
{
  "formula": "LiBe3Au",
  "functional": "PBE",
  "state": "optimized geometry",
  "de_polymorph_ev_per_fu": 2.62,
  "e_form_ev_per_atom": 0.885,
  "lattice_angstrom": [[-2.762, 2.695, -0.489], [-2.668, -2.804, -0.387], [-0.621, 0.061, 3.840]],
  "species": ["Au", "Li", "Be", "Be", "Be"],
  "frac_coords": [[0.500, 0.500, 0.500], [0.000, 0.000, 0.000], [0.000, 0.000, 0.500], [0.500, 0.000, 0.000], [0.000, 0.500, 0.000]]
}

***

# 3
{
  "formula": "Rb3CeTi2O8",
  "functional": "PBE",
  "state": "optimized geometry",
  "raw_formation_energy_ev_per_atom": -2.54,
  "lattice_angstrom": [[6.190, 0.000, 0.000], [-3.095, 5.361, 0.000], [0.000, 0.000, 8.113]],
  "species": ["Ti", "Ti", "O", "O", "O", "O", "O", "O", "O", "O", "Ce", "Rb", "Rb", "Rb"],
  "frac_coords": [[0.333, 0.667, 0.259], [0.667, 0.333, 0.741], [0.333, 0.667, 0.040], [0.829, 0.659, 0.664], [0.171, 0.341, 0.336], [0.829, 0.171, 0.664], [0.341, 0.171, 0.664], [0.659, 0.829, 0.336], [0.171, 0.829, 0.336], [0.667, 0.333, 0.960], [0.000, 0.000, 0.500], [0.000, 0.000, 0.000], [0.333, 0.667, 0.703], [0.667, 0.333, 0.297]]
}

***

# 4
{
  "formula": "NaNdTlPt",
  "functional": "PBE",
  "state": "optimized geometry",
  "e_form_ev_per_atom": -0.414,
  "lattice_angstrom": [[5.036, 0.000, 0.000], [2.518, 4.362, 0.000], [2.518, 1.454, 4.112]],
  "species": ["Nd", "Pt", "Na", "Tl"],
  "frac_coords": [[0.000, 0.000, 0.000], [0.750, 0.750, 0.750], [0.250, 0.250, 0.250], [0.500, 0.500, 0.500]]
}

***

# 5
{
  "formula": "Li5ZnAu4",
  "functional": "PBE",
  "state": "optimized geometry",
  "de_polymorph_ev_per_fu": 0.07,
  "e_form_ev_per_atom": -0.462,
  "lattice_angstrom": [[2.921, 0.000, 0.000], [0.000, 2.921, 0.000], [0.000, 0.000, 18.135]],
  "species": ["Zn", "Li", "Li", "Li", "Li", "Li", "Au", "Au", "Au", "Au"],
  "frac_coords": [[0.000, 0.000, 0.000], [0.500, 0.500, 0.897], [0.500, 0.500, 0.500], [0.500, 0.500, 0.103], [0.500, 0.500, 0.700], [0.500, 0.500, 0.300], [0.000, 0.000, 0.199], [0.000, 0.000, 0.601], [0.000, 0.000, 0.801], [0.000, 0.000, 0.399]]
}

***

# 6
{
  "formula": "HfAlNO2",
  "functional": "PBE",
  "state": "optimized geometry",
  "raw_formation_energy_ev_per_atom": -1.22,
  "lattice_angstrom": [[-3.789, 0.854, 0.957], [0.243, -2.451, 3.152], [1.362, 3.293, 2.455]],
  "species": ["Hf", "N", "O", "O", "Al"],
  "frac_coords": [[0.000, 0.000, 0.000], [0.000, 0.000, 0.500], [0.000, 0.500, 0.000], [0.500, 0.000, 0.000], [0.500, 0.500, 0.500]]
}